[1]
Material: Sc2AlH2
Method: DFT, SCAN
State: single point on PBEsol structure

Structure (CIF):
```
data_Sc2AlH2
_chemical_formula_sum 'Sc2 Al1 H2'
_cell_length_a 5.9825
_cell_length_b 5.9825
_cell_length_c 5.9825
_cell_angle_alpha 146.86
_cell_angle_beta 146.86
_cell_angle_gamma 47.58
_symmetry_space_group_name_H-M 'P 1'
_symmetry_Int_Tables_number 1
_symmetry_space_group_name_Hall 'P 1'
loop_
_atom_site_label
_atom_site_type_symbol
_atom_site_fract_x
_atom_site_fract_y
_atom_site_fract_z
Sc1 Sc 0.1528 0.1528 0.0000
Sc2 Sc 0.8472 0.8472 0.0000
Al1 Al 0.5000 0.5000 0.0000
H1 H 0.2500 0.7500 0.5000
H2 H 0.7500 0.2500 0.5000
```

Summary:
**Crystal system**: tetragonal

[2]
Material: AlSn3H
Method: DFT, SCAN
State: single point on PBEsol structure

Structure (CIF):
```
data_AlSn3H
_chemical_formula_sum 'Al1 Sn3 H1'
_cell_length_a 5.2087
_cell_length_b 5.2087
_cell_length_c 5.2087
_cell_angle_alpha 90.00
_cell_angle_beta 90.00
_cell_angle_gamma 90.00
_symmetry_space_group_name_H-M 'P 1'
_symmetry_Int_Tables_number 1
_symmetry_space_group_name_Hall 'P 1'
loop_
_atom_site_label
_atom_site_type_symbol
_atom_site_fract_x
_atom_site_fract_y
_atom_site_fract_z
Al1 Al 0.0000 0.0000 0.0000
Sn1 Sn 0.0000 0.0000 0.5000
Sn2 Sn 0.0000 0.5000 0.0000
Sn3 Sn 0.5000 0.0000 0.0000
H1 H 0.5000 0.5000 0.5000
```

Summary:
**Crystal system**: cubic

[3]
Material: Sr2AlH7
Method: DFT, SCAN
State: single point on PBEsol structure

Structure (CIF):
```
data_Sr2AlH7
_chemical_formula_sum 'Sr8 Al4 H28'
_cell_length_a 8.1530
_cell_length_b 8.1530
_cell_length_c 7.8232
_cell_angle_alpha 110.33
_cell_angle_beta 110.33
_cell_angle_gamma 71.24
_symmetry_space_group_name_H-M 'P 1'
_symmetry_Int_Tables_number 1
_symmetry_space_group_name_Hall 'P 1'
loop_
_atom_site_label
_atom_site_type_symbol
_atom_site_fract_x
_atom_site_fract_y
_atom_site_fract_z
Sr1 Sr 0.0759 0.7381 0.9802
Sr2 Sr 0.2619 0.9241 0.5198
Sr3 Sr 0.2899 0.4333 0.5251
Sr4 Sr 0.4333 0.2899 0.0251
Sr5 Sr 0.5667 0.7101 0.9749
Sr6 Sr 0.7101 0.5667 0.4749
Sr7 Sr 0.7381 0.0759 0.4802
Sr8 Sr 0.9241 0.2619 0.0198
Al1 Al 0.0284 0.3208 0.6951
Al2 Al 0.3208 0.0284 0.1951
Al3 Al 0.6792 0.9716 0.8049
Al4 Al 0.9716 0.6792 0.3049
H1 H 0.0134 0.5271 0.6658
H2 H 0.0360 0.1118 0.7120
H3 H 0.0753 0.7470 0.5465
H4 H 0.1098 0.4002 0.9355
H5 H 0.1118 0.0360 0.2120
H6 H 0.1969 0.6132 0.2763
H7 H 0.2409 0.2470 0.1759
H8 H 0.2470 0.2409 0.6759
H9 H 0.2530 0.9247 0.9535
H10 H 0.3388 0.5423 0.8736
H11 H 0.3868 0.8031 0.2237
H12 H 0.4002 0.1098 0.4355
H13 H 0.4577 0.6612 0.6264
H14 H 0.4729 0.9866 0.8342
H15 H 0.5271 0.0134 0.1658
H16 H 0.5423 0.3388 0.3736
H17 H 0.5998 0.8902 0.5645
H18 H 0.6132 0.1969 0.7763
H19 H 0.6612 0.4577 0.1264
H20 H 0.7470 0.0753 0.0465
H21 H 0.7530 0.7591 0.3241
H22 H 0.7591 0.7530 0.8241
H23 H 0.8031 0.3868 0.7237
H24 H 0.8882 0.9640 0.7880
H25 H 0.8902 0.5998 0.0645
H26 H 0.9247 0.2530 0.4535
H27 H 0.9640 0.8882 0.2880
H28 H 0.9866 0.4729 0.3342
```

Summary:
**Crystal system**: monoclinic

[4]
Material: Ta2AlH2
Method: DFT, SCAN
State: single point on PBEsol structure

Structure (CIF):
```
data_Ta2AlH2
_chemical_formula_sum 'Ta2 Al1 H2'
_cell_length_a 5.1383
_cell_length_b 5.1383
_cell_length_c 5.1383
_cell_angle_alpha 139.91
_cell_angle_beta 139.91
_cell_angle_gamma 57.99
_symmetry_space_group_name_H-M 'P 1'
_symmetry_Int_Tables_number 1
_symmetry_space_group_name_Hall 'P 1'
loop_
_atom_site_label
_atom_site_type_symbol
_atom_site_fract_x
_atom_site_fract_y
_atom_site_fract_z
Ta1 Ta 0.1625 0.1625 0.0000
Ta2 Ta 0.8375 0.8375 0.0000
Al1 Al 0.5000 0.5000 0.0000
H1 H 0.2500 0.7500 0.5000
H2 H 0.7500 0.2500 0.5000
```

Summary:
**Crystal system**: tetragonal

no.,final energy (eV/atom)
1,-9.273
2,-22.871
3,-8.157
4,-29.681